# BeCd2Tc

A relaxed structure of BeCd2Tc (PBE-GGA, Alexandria).

Formation energy from the elements = 0.547 eV per atom
DOS(E_F) = 0.682 states/eV per atom
Energy = -13.73 eV per cell

Cell lengths 2.773, 4.205, 5.602 Å; angles 90.00, 90.00, 90.00 degrees
Element x y z (fractional)
Cd1 0.000 0.000 0.504
Tc1 0.500 0.500 0.250
Cd2 0.000 0.000 0.996
Be1 0.500 0.500 0.750